# SmMnV GGA-PBE optimized geometry
# total magnetic moment: 0.0 μB/f.u.
# energy relative to the elements: 303.4 meV/atom
# crystal system: hexagonal
data_SmMnV
_cell_length_a 6.1918
_cell_length_b 6.1918
_cell_length_c 10.9199
_cell_angle_alpha 90.00
_cell_angle_beta 90.00
_cell_angle_gamma 120.00
_space_group_name_H-M_alt 'P 62 2 2'
_space_group_IT_number 180
_space_group_name_Hall 'P 62 2 (0 0 4)'
loop_
_atom_site_label
_atom_site_fract_x
_atom_site_fract_y
_atom_site_fract_z
Sm1 0.0000 0.0000 0.0000
Sm2 0.0000 0.5000 0.1667
Mn1 0.2420 0.6210 0.6667
V1 0.0000 0.5000 0.4819

# NdMgCu2Si2 GGA-PBE optimized geometry
# final energy: -28.14 eV/cell
# total magnetic moment: 0.0 μB/f.u.
# crystal system: trigonal
data_NdMgCu2Si2
_cell_length_a 4.1551
_cell_length_b 4.1551
_cell_length_c 6.9823
_cell_angle_alpha 90.00
_cell_angle_beta 90.00
_cell_angle_gamma 120.00
_space_group_name_H-M_alt 'P -3 m 1'
_space_group_IT_number 164
_space_group_name_Hall '-P 3 2"'
loop_
_atom_site_label
_atom_site_fract_x
_atom_site_fract_y
_atom_site_fract_z
Nd1 0.0000 0.0000 0.0000
Mg1 0.0000 0.0000 0.5000
Cu1 0.3333 0.6667 0.6835
Si1 0.3333 0.6667 0.2747

# Ti4NbIr3 GGA-PBE optimized geometry
# total magnetic moment: 0.0 μB/f.u.
# energy relative to the elements: -712.9 meV/atom
# crystal system: orthorhombic
data_Ti4NbIr3
_cell_length_a 3.2070
_cell_length_b 4.3863
_cell_length_c 8.8149
_cell_angle_alpha 90.00
_cell_angle_beta 90.00
_cell_angle_gamma 90.00
_space_group_name_H-M_alt 'P m m m'
_space_group_IT_number 47
loop_
_space_group_symop_operation_xyz
'x,y,z'
'-x,-y,-z'
'-x,-y,z'
'x,y,-z'
'x,-y,-z'
'-x,y,z'
'-x,y,-z'
'x,-y,z'
loop_
_atom_site_label
_atom_site_fract_x
_atom_site_fract_y
_atom_site_fract_z
Ti1 0.0000 0.0000 0.0000
Ti2 0.0000 0.0000 0.5000
Ti3 0.0000 0.5000 0.2463
Nb1 0.5000 0.5000 0.5000
Ir1 0.5000 0.0000 0.2417
Ir2 0.5000 0.5000 0.0000

# MgTaTc2 GGA-PBE optimized geometry
# total magnetic moment: 0.0 μB/f.u.
# energy relative to the elements: 182.8 meV/atom
# crystal system: orthorhombic
data_MgTaTc2
_cell_length_a 3.1938
_cell_length_b 4.5481
_cell_length_c 9.1194
_cell_angle_alpha 90.00
_cell_angle_beta 90.00
_cell_angle_gamma 90.00
_space_group_name_H-M_alt 'C m m 2'
_space_group_IT_number 35
loop_
_space_group_symop_operation_xyz
'x,y,z'
'-x,-y,z'
'-x,y,z'
'x,-y,z'
'x+1/2,y+1/2,z'
'-x+1/2,-y+1/2,z'
'-x+1/2,y+1/2,z'
'x+1/2,-y+1/2,z'
loop_
_atom_site_label
_atom_site_fract_x
_atom_site_fract_y
_atom_site_fract_z
Mg1 0.0000 0.0000 0.0000
Ta1 0.0000 0.5000 0.7183
Tc1 0.0000 0.0000 0.4802
Tc2 0.0000 0.5000 0.2514

# CaAc4Ga4 GGA-PBE optimized geometry
# total magnetic moment: 0.0 μB/f.u.
# energy relative to the elements: -328.1 meV/atom
# crystal system: tetragonal
data_CaAc4Ga4
_cell_length_a 9.6257
_cell_length_b 9.6257
_cell_length_c 6.5516
_cell_angle_alpha 90.00
_cell_angle_beta 90.00
_cell_angle_gamma 90.00
_space_group_name_H-M_alt 'P 42/n'
_space_group_IT_number 86
loop_
_space_group_symop_operation_xyz
'x,y,z'
'-x,-y,-z'
'-y,x+1/2,z+1/2'
'y,-x+1/2,-z+1/2'
'-x+1/2,-y+1/2,z'
'x+1/2,y+1/2,-z'
'y+1/2,-x,z+1/2'
'-y+1/2,x,-z+1/2'
loop_
_atom_site_label
_atom_site_fract_x
_atom_site_fract_y
_atom_site_fract_z
Ca1 0.2500 0.2500 0.2500
Ac1 0.0612 0.6648 0.1122
Ga1 0.0090 0.6163 0.5998

# ZrAlNi GGA-PBE optimized geometry
# total magnetic moment: 0.0 μB/f.u.
# energy relative to the elements: -479.9 meV/atom
# crystal system: tetragonal
data_ZrAlNi
_cell_length_a 3.9706
_cell_length_b 3.9706
_cell_length_c 6.3884
_cell_angle_alpha 90.00
_cell_angle_beta 90.00
_cell_angle_gamma 90.00
_space_group_name_H-M_alt 'P 4/n m m'
_space_group_IT_number 129
loop_
_space_group_symop_operation_xyz
'x,y,z'
'-x,-y,-z'
'-y+1/2,x,z'
'y+1/2,-x,-z'
'-x+1/2,-y+1/2,z'
'x+1/2,y+1/2,-z'
'y,-x+1/2,z'
'-y,x+1/2,-z'
'x+1/2,-y,-z'
'-x+1/2,y,z'
'-y,-x,-z'
'y,x,z'
'-x,y+1/2,-z'
'x,-y+1/2,z'
'y+1/2,x+1/2,-z'
'-y+1/2,-x+1/2,z'
loop_
_atom_site_label
_atom_site_fract_x
_atom_site_fract_y
_atom_site_fract_z
Zr1 0.2500 0.2500 0.1812
Al1 0.2500 0.2500 0.7182
Ni1 0.2500 0.7500 0.5000

# Ho5Er4Pu GGA-PBE optimized geometry
# distance to the lowest polymorph of the same formula: 0 meV/atom
# total magnetic moment: 6.3 μB/f.u.
# energy relative to the elements: 265.1 meV/atom
# crystal system: monoclinic
data_Ho5Er4Pu
_cell_length_a 17.5283
_cell_length_b 4.8961
_cell_length_c 8.5557
_cell_angle_alpha 90.00
_cell_angle_beta 117.51
_cell_angle_gamma 90.00
_space_group_name_H-M_alt 'C 1 2/m 1'
_space_group_IT_number 12
loop_
_space_group_symop_operation_xyz
'x,y,z'
'-x,-y,-z'
'-x,y,-z'
'x,-y,z'
'x+1/2,y+1/2,z'
'-x+1/2,-y+1/2,-z'
'-x+1/2,y+1/2,-z'
'x+1/2,-y+1/2,z'
loop_
_atom_site_label
_atom_site_fract_x
_atom_site_fract_y
_atom_site_fract_z
Ho1 0.0000 0.0000 0.0000
Ho2 0.1650 0.5000 0.7110
Ho3 0.1698 0.5000 0.1195
Er1 0.0285 0.5000 0.2811
Er2 0.1756 0.0000 0.4270
Pu1 0.0000 0.0000 0.5000

# Nd5ErSn5 GGA-PBE optimized geometry
# total magnetic moment: 0.0 μB/f.u.
# energy relative to the elements: -482.2 meV/atom
# crystal system: monoclinic
data_Nd5ErSn5
_cell_length_a 16.4741
_cell_length_b 6.1778
_cell_length_c 7.3187
_cell_angle_alpha 90.00
_cell_angle_beta 105.69
_cell_angle_gamma 90.00
_space_group_name_H-M_alt 'C 1 2/m 1'
_space_group_IT_number 12
loop_
_space_group_symop_operation_xyz
'x,y,z'
'-x,-y,-z'
'-x,y,-z'
'x,-y,z'
'x+1/2,y+1/2,z'
'-x+1/2,-y+1/2,-z'
'-x+1/2,y+1/2,-z'
'x+1/2,-y+1/2,z'
loop_
_atom_site_label
_atom_site_fract_x
_atom_site_fract_y
_atom_site_fract_z
Nd1 0.0000 0.0000 0.0000
Nd2 0.1556 0.5000 0.2847
Nd3 0.1788 0.5000 0.7922
Er1 0.0000 0.0000 0.5000
Sn1 0.0000 0.5000 0.5000
Sn2 0.1627 0.0000 0.8543
Sn3 0.1648 0.0000 0.3956

# Sc5Be GGA-PBE optimized geometry
# distance to the lowest polymorph of the same formula: 0 meV/atom
# total magnetic moment: 0.0 μB/f.u.
# energy relative to the elements: 18.4 meV/atom
# crystal system: tetragonal
data_Sc5Be
_cell_length_a 3.2083
_cell_length_b 3.2083
_cell_length_c 12.7006
_cell_angle_alpha 90.00
_cell_angle_beta 90.00
_cell_angle_gamma 90.00
_space_group_name_H-M_alt 'P 4/m m m'
_space_group_IT_number 123
_space_group_name_Hall '-P 4 2'
loop_
_atom_site_label
_atom_site_fract_x
_atom_site_fract_y
_atom_site_fract_z
Sc1 0.0000 0.0000 0.0000
Sc2 0.0000 0.0000 0.3785
Sc3 0.5000 0.5000 0.1845
Be1 0.5000 0.5000 0.5000

# Rb2Li3UCl12 GGA-PBE optimized geometry
# final energy: -203.72 eV/cell
# total magnetic moment: 1.9 μB/f.u.
# crystal system: trigonal
data_Rb2Li3UCl12
_cell_length_a 8.3662
_cell_length_b 8.3662
_cell_length_c 33.1109
_cell_angle_alpha 90.00
_cell_angle_beta 90.00
_cell_angle_gamma 120.00
_space_group_name_H-M_alt 'R -3 m'
_space_group_IT_number 166
_space_group_name_Hall '-R 3 2"'
loop_
_atom_site_label
_atom_site_fract_x
_atom_site_fract_y
_atom_site_fract_z
Rb1 0.0000 0.0000 0.0720
Li1 0.0000 0.5000 0.0000
U1 0.0000 0.0000 0.5000
Cl1 0.0512 0.5256 0.1233
Cl2 0.0603 0.5302 0.3615

# ThGa2Fe GGA-PBE optimized geometry
# total magnetic moment: 1.7 μB/f.u.
# energy relative to the elements: -302.5 meV/atom
# crystal system: trigonal
data_ThGa2Fe
_cell_length_a 4.1811
_cell_length_b 4.1811
_cell_length_c 15.6352
_cell_angle_alpha 90.00
_cell_angle_beta 90.00
_cell_angle_gamma 120.00
_space_group_name_H-M_alt 'R -3 m'
_space_group_IT_number 166
_space_group_name_Hall '-R 3 2"'
loop_
_atom_site_label
_atom_site_fract_x
_atom_site_fract_y
_atom_site_fract_z
Th1 0.0000 0.0000 0.0000
Ga1 0.0000 0.0000 0.2105
Fe1 0.0000 0.0000 0.5000